Record 1
{
  "formula": "TaAlCd2",
  "functional": "PBE",
  "state": "relaxed",
  "space_group": "F-43m",
  "e_form_ev_per_atom": 0.473,
  "cell": [[0.000, 3.377, 3.377], [3.377, 0.000, 3.377], [3.377, 3.377, 0.000]],
  "species": ["Ta", "Al", "Cd", "Cd"],
  "fractional_positions": [[0.000, 0.000, 0.000], [0.250, 0.250, 0.250], [0.500, 0.500, 0.500], [0.750, 0.750, 0.750]]
}



Record 2
{
  "formula": "TbDyNi",
  "functional": "PBE",
  "state": "relaxed",
  "space_group": "P3m1",
  "relative_energy_ev_per_atom": 0.0798,
  "e_form_ev_per_atom": -0.156,
  "cell": [[3.934, 0.000, 0.000], [-1.967, 3.407, 0.000], [0.000, 0.000, 6.125]],
  "species": ["Tb", "Dy", "Ni"],
  "fractional_positions": [[0.000, 0.000, 0.000], [0.333, 0.667, 0.479], [0.667, 0.333, 0.242]]
}



Record 3
{
  "formula": "Nb3CrI",
  "functional": "PBE",
  "state": "relaxed",
  "space_group": "Pm-3m",
  "relative_energy_ev_per_atom": 0.0000,
  "e_form_raw_ev_per_atom": 1.034,
  "cell": [[4.738, 0.000, 0.000], [0.000, 4.738, 0.000], [0.000, 0.000, 4.738]],
  "species": ["Nb", "Nb", "Nb", "Cr", "I"],
  "fractional_positions": [[0.000, 0.000, 0.500], [0.000, 0.500, 0.000], [0.500, 0.000, 0.000], [0.000, 0.000, 0.000], [0.500, 0.500, 0.500]]
}



Record 4
{
  "formula": "Pm6HoIn2",
  "functional": "PBE",
  "state": "relaxed",
  "space_group": "C2/m",
  "e_form_ev_per_atom": -0.215,
  "cell": [[5.604, -2.424, 0.000], [5.604, 2.424, 0.000], [-3.433, 0.000, 10.058]],
  "species": ["Pm", "Pm", "Pm", "Pm", "Pm", "Pm", "Ho", "In", "In"],
  "fractional_positions": [[0.008, 0.008, 0.176], [0.328, 0.328, 0.946], [0.330, 0.330, 0.609], [0.670, 0.670, 0.391], [0.672, 0.672, 0.054], [0.992, 0.992, 0.824], [0.000, 0.000, 0.500], [0.340, 0.340, 0.285], [0.660, 0.660, 0.715]]
}



Record 5
{
  "formula": "Mn4GeI2",
  "functional": "PBE",
  "state": "relaxed",
  "space_group": "I4/mmm",
  "e_form_raw_ev_per_atom": 0.560,
  "cell": [[-2.385, 2.385, 8.033], [2.385, -2.385, 8.033], [2.385, 2.385, -8.033]],
  "species": ["Mn", "Mn", "Mn", "Mn", "Ge", "I", "I"],
  "fractional_positions": [[0.000, 0.500, 0.500], [0.154, 0.154, 0.000], [0.500, 0.000, 0.500], [0.846, 0.846, 0.000], [0.000, 0.000, 0.000], [0.325, 0.325, 0.000], [0.675, 0.675, 0.000]]
}



Record 6
{
  "formula": "Pm2PrGe3Pt4",
  "functional": "PBE",
  "state": "relaxed",
  "space_group": "P-4m2",
  "e_form_ev_per_atom": -0.898,
  "cell": [[4.354, 0.000, 0.000], [0.000, 4.354, 0.000], [0.000, 0.000, 11.299]],
  "species": ["Pm", "Pm", "Pr", "Ge", "Ge", "Ge", "Pt", "Pt", "Pt", "Pt"],
  "fractional_positions": [[0.000, 0.500, 0.216], [0.500, 0.000, 0.784], [0.000, 0.000, 0.500], [0.000, 0.500, 0.882], [0.500, 0.000, 0.118], [0.500, 0.500, 0.500], [0.000, 0.000, 0.000], [0.000, 0.500, 0.666], [0.500, 0.000, 0.334], [0.500, 0.500, 0.000]]
}



Record 7
{
  "formula": "BeNi2Pb",
  "functional": "PBE",
  "state": "relaxed",
  "space_group": "I-42d",
  "relative_energy_ev_per_atom": 0.3449,
  "e_form_ev_per_atom": 0.403,
  "cell": [[-2.137, 2.137, 7.326], [2.137, -2.137, 7.326], [2.137, 2.137, -7.326]],
  "species": ["Be", "Be", "Ni", "Ni", "Ni", "Ni", "Pb", "Pb"],
  "fractional_positions": [[0.000, 0.000, 0.000], [0.750, 0.250, 0.500], [0.375, 0.223, 0.348], [0.777, 0.125, 0.152], [0.875, 0.027, 0.652], [0.973, 0.625, 0.848], [0.250, 0.750, 0.500], [0.500, 0.500, 0.000]]
}



Record 8
{
  "formula": "Cs2Hg5Bi",
  "functional": "PBE",
  "state": "relaxed",
  "space_group": "Cmcm",
  "relative_energy_ev_per_atom": 0.0000,
  "e_form_ev_per_atom": -0.234,
  "cell": [[2.957, -9.724, 0.000], [2.957, 9.724, 0.000], [0.000, 0.000, 10.780]],
  "species": ["Cs", "Cs", "Cs", "Cs", "Hg", "Hg", "Hg", "Hg", "Hg", "Hg", "Hg", "Hg", "Hg", "Hg", "Bi", "Bi"],
  "fractional_positions": [[0.000, 0.000, 0.000], [0.000, 0.000, 0.500], [0.209, 0.791, 0.750], [0.791, 0.209, 0.250], [0.191, 0.809, 0.100], [0.191, 0.809, 0.400], [0.354, 0.646, 0.004], [0.354, 0.646, 0.496], [0.414, 0.586, 0.750], [0.586, 0.414, 0.250], [0.646, 0.354, 0.504], [0.646, 0.354, 0.996], [0.809, 0.191, 0.600], [0.809, 0.191, 0.900], [0.432, 0.568, 0.250], [0.568, 0.432, 0.750]]
}



Record 9
{
  "formula": "AcErHgO4",
  "functional": "PBE",
  "state": "relaxed",
  "space_group": "Imma",
  "e_form_raw_ev_per_atom": -2.403,
  "cell": [[-3.445, 3.749, 5.020], [3.445, -3.749, 5.020], [3.445, 3.749, -5.020]],
  "species": ["Ac", "Ac", "Er", "Er", "Hg", "Hg", "O", "O", "O", "O", "O", "O", "O", "O"],
  "fractional_positions": [[0.000, 0.000, 0.000], [0.500, 0.000, 0.500], [0.500, 0.000, 0.000], [0.500, 0.500, 0.500], [0.135, 0.385, 0.750], [0.865, 0.615, 0.250], [0.273, 0.258, 0.486], [0.273, 0.787, 0.014], [0.293, 0.245, 0.048], [0.303, 0.755, 0.548], [0.697, 0.245, 0.452], [0.707, 0.755, 0.952], [0.727, 0.213, 0.986], [0.727, 0.742, 0.514]]
}



Record 10
{
  "formula": "Ga8Ir2Rh",
  "functional": "PBE",
  "state": "relaxed",
  "space_group": "P-1",
  "relative_energy_ev_per_atom": 0.0000,
  "e_form_ev_per_atom": -0.328,
  "cell": [[4.433, 0.000, 0.000], [-1.347, 6.547, 0.000], [-1.307, -1.299, 6.427]],
  "species": ["Ga", "Ga", "Ga", "Ga", "Ga", "Ga", "Ga", "Ga", "Ir", "Ir", "Rh"],
  "fractional_positions": [[0.000, 0.147, 0.352], [0.000, 0.853, 0.648], [0.206, 0.403, 0.904], [0.325, 0.601, 0.377], [0.326, 0.876, 0.101], [0.674, 0.124, 0.899], [0.675, 0.399, 0.623], [0.794, 0.597, 0.096], [0.500, 0.282, 0.218], [0.500, 0.718, 0.782], [0.500, 0.000, 0.500]]
}



Record 11
{
  "formula": "TbGdScTl",
  "functional": "PBE",
  "state": "relaxed",
  "space_group": "F-43m",
  "e_form_ev_per_atom": -0.079,
  "cell": [[0.000, 3.810, 3.810], [3.810, 0.000, 3.810], [3.810, 3.810, 0.000]],
  "species": ["Tb", "Gd", "Sc", "Tl"],
  "fractional_positions": [[0.000, 0.000, 0.000], [0.500, 0.500, 0.500], [0.250, 0.250, 0.250], [0.750, 0.750, 0.750]]
}



Record 12
{
  "formula": "Cs3Li2PuBr8",
  "functional": "PBE",
  "state": "relaxed",
  "space_group": "P-3m1",
  "e_form_raw_ev_per_atom": -1.622,
  "cell": [[7.926, 0.000, 0.000], [-3.963, 6.864, 0.000], [0.000, 0.000, 10.299]],
  "species": ["Cs", "Cs", "Cs", "Li", "Li", "Pu", "Br", "Br", "Br", "Br", "Br", "Br", "Br", "Br"],
  "fractional_positions": [[0.000, 0.000, 0.000], [0.333, 0.667, 0.648], [0.667, 0.333, 0.352], [0.333, 0.667, 0.207], [0.667, 0.333, 0.793], [0.000, 0.000, 0.500], [0.167, 0.333, 0.332], [0.167, 0.833, 0.332], [0.333, 0.167, 0.668], [0.333, 0.667, 0.978], [0.667, 0.333, 0.022], [0.667, 0.833, 0.332], [0.833, 0.167, 0.668], [0.833, 0.667, 0.668]]
}



Record 13
{
  "formula": "La4Pm3Co4",
  "functional": "PBE",
  "state": "relaxed",
  "space_group": "Immm",
  "e_form_ev_per_atom": -0.005,
  "cell": [[-2.421, 3.735, 7.364], [2.421, -3.735, 7.364], [2.421, 3.735, -7.364]],
  "species": ["La", "La", "La", "La", "Pm", "Pm", "Pm", "Co", "Co", "Co", "Co"],
  "fractional_positions": [[0.060, 0.837, 0.223], [0.386, 0.163, 0.223], [0.614, 0.837, 0.777], [0.940, 0.163, 0.777], [0.000, 0.500, 0.500], [0.399, 0.399, 0.000], [0.601, 0.601, 0.000], [0.206, 0.706, 0.500], [0.339, 0.000, 0.339], [0.661, 0.000, 0.661], [0.794, 0.294, 0.500]]
}



Record 14
{
  "formula": "NpCuNi2",
  "functional": "PBE",
  "state": "relaxed",
  "space_group": "R-3m",
  "e_form_ev_per_atom": 0.304,
  "cell": [[1.307, 0.755, 9.102], [-1.307, 0.755, 9.102], [0.000, -1.510, 9.102]],
  "species": ["Np", "Cu", "Ni", "Ni"],
  "fractional_positions": [[0.000, 0.000, 0.000], [0.500, 0.500, 0.500], [0.092, 0.092, 0.092], [0.908, 0.908, 0.908]]
}



Record 15
{
  "formula": "Gd2PtAu",
  "functional": "PBE",
  "state": "relaxed",
  "space_group": "R-3m",
  "e_form_ev_per_atom": -0.957,
  "cell": [[2.077, 1.199, 6.930], [-2.077, 1.199, 6.930], [0.000, -2.398, 6.930]],
  "species": ["Gd", "Gd", "Pt", "Au"],
  "fractional_positions": [[0.244, 0.244, 0.244], [0.756, 0.756, 0.756], [0.500, 0.500, 0.500], [0.000, 0.000, 0.000]]
}



Record 16
{
  "formula": "YMnFe2",
  "functional": "PBE",
  "state": "relaxed",
  "space_group": "Fm-3m",
  "relative_energy_ev_per_atom": 0.2207,
  "e_form_ev_per_atom": 0.343,
  "cell": [[0.000, 3.151, 3.151], [3.151, 0.000, 3.151], [3.151, 3.151, 0.000]],
  "species": ["Y", "Mn", "Fe", "Fe"],
  "fractional_positions": [[0.000, 0.000, 0.000], [0.500, 0.500, 0.500], [0.250, 0.250, 0.250], [0.750, 0.750, 0.750]]
}



Record 17
{
  "formula": "Nd3SbSe3",
  "functional": "PBE",
  "state": "relaxed",
  "space_group": "R-3",
  "e_form_raw_ev_per_atom": -1.573,
  "cell": [[4.283, 2.473, 7.146], [-4.283, 2.473, 7.146], [0.000, -4.946, 7.146]],
  "species": ["Nd", "Nd", "Nd", "Nd", "Nd", "Nd", "Sb", "Sb", "Se", "Se", "Se", "Se", "Se", "Se"],
  "fractional_positions": [[0.022, 0.789, 0.425], [0.211, 0.575, 0.978], [0.425, 0.022, 0.789], [0.575, 0.978, 0.211], [0.789, 0.425, 0.022], [0.978, 0.211, 0.575], [0.165, 0.165, 0.165], [0.835, 0.835, 0.835], [0.126, 0.376, 0.672], [0.328, 0.874, 0.624], [0.376, 0.672, 0.126], [0.624, 0.328, 0.874], [0.672, 0.126, 0.376], [0.874, 0.624, 0.328]]
}



Record 18
{
  "formula": "RbNaTlAg",
  "functional": "PBE",
  "state": "relaxed",
  "space_group": "Cm",
  "relative_energy_ev_per_atom": 0.0000,
  "e_form_ev_per_atom": -0.018,
  "cell": [[4.490, -2.509, 0.000], [4.490, 2.509, 0.000], [-2.954, 0.000, 6.639]],
  "species": ["Rb", "Na", "Tl", "Ag"],
  "fractional_positions": [[0.000, 0.000, 0.000], [0.811, 0.811, 0.418], [0.543, 0.543, 0.617], [0.207, 0.207, 0.600]]
}



Record 19
{
  "formula": "Tc2NiBr",
  "functional": "PBE",
  "state": "relaxed",
  "space_group": "P4/mmm",
  "relative_energy_ev_per_atom": 0.2032,
  "e_form_raw_ev_per_atom": 0.586,
  "cell": [[3.088, 0.000, 0.000], [0.000, 3.088, 0.000], [0.000, 0.000, 6.441]],
  "species": ["Tc", "Tc", "Ni", "Br"],
  "fractional_positions": [[0.000, 0.000, 0.196], [0.000, 0.000, 0.804], [0.500, 0.500, 0.000], [0.500, 0.500, 0.500]]
}



Record 20
{
  "formula": "Li2BeAu8",
  "functional": "PBE",
  "state": "relaxed",
  "space_group": "C2/m",
  "e_form_ev_per_atom": -0.255,
  "cell": [[7.547, -2.340, 0.000], [7.547, 2.340, 0.000], [-2.094, 0.000, 5.228]],
  "species": ["Li", "Li", "Be", "Au", "Au", "Au", "Au", "Au", "Au", "Au", "Au"],
  "fractional_positions": [[0.189, 0.189, 0.189], [0.811, 0.811, 0.811], [0.500, 0.500, 0.500], [0.000, 0.000, 0.249], [0.000, 0.000, 0.751], [0.191, 0.191, 0.692], [0.370, 0.370, 0.627], [0.371, 0.371, 0.113], [0.629, 0.629, 0.887], [0.630, 0.630, 0.373], [0.809, 0.809, 0.308]]
}



| no. | magnetic moment (μB per atom) |
| --- | --- |
| 1 | 0.297 |
| 2 | 0.000 |
| 3 | 0.000 |
| 4 | 0.000 |
| 5 | 0.072 |
| 6 | 0.000 |
| 7 | 0.000 |
| 8 | 0.000 |
| 9 | 0.000 |
| 10 | 0.000 |
| 11 | 2.153 |
| 12 | 0.357 |
| 13 | 0.000 |
| 14 | 0.188 |
| 15 | 3.534 |
| 16 | 1.756 |
| 17 | 0.000 |
| 18 | 0.000 |
| 19 | 0.000 |
| 20 | 0.000 |